(one)
Computed, not measured: an optimized crystal structure of ScMoH2 at the PBE level of DFT.

Crystal system: tetragonal
Density of states at the Fermi level: 0.638 states/eV/atom
Total magnetic moment: 0.000 μB/f.u.

Cell lengths 4.909, 4.909, 4.904 Å; angles 59.97, 59.97, 90.00 degrees
Atoms (fractional coordinates):
Mo1 0.750 0.250 0.500
H1 0.096 0.625 0.250
H2 0.654 0.125 0.250
H3 0.875 0.904 0.750
Sc1 0.250 0.750 0.500
Sc2 0.500 0.500 0.000
H4 0.375 0.346 0.750
Mo2 0.000 0.000 0.000

=====

(two)
Computed, not measured: an optimized crystal structure of ScMoH2 at the PBE level of DFT.

Crystal system: cubic
Density of states at the Fermi level: 0.669 states/eV/atom
Total magnetic moment: 0.000 μB/f.u.

Cell lengths 3.883, 3.883, 3.883 Å; angles 60.00, 60.00, 60.00 degrees
Atoms (fractional coordinates):
Sc1 0.000 0.000 0.000
H1 0.250 0.250 0.250
H2 0.750 0.750 0.750
Mo1 0.500 0.500 0.500

=====

The calculated energies rank the structures as follows, beginning with the most stable: (one), (two).

=====

(one)
Computed, not measured: an optimized crystal structure of Sc2MoHSe at the PBE level of DFT.

Crystal system: tetragonal
Density of states at the Fermi level: 0.748 states/eV/atom
Total magnetic moment: 0.000 μB/f.u.

Cell lengths 5.056, 3.539, 5.056 Å; angles 90.00, 90.00, 90.00 degrees
Atoms (fractional coordinates):
Mo1 0.000 0.000 0.000
H1 0.000 0.500 0.000
Sc1 0.500 0.000 0.000
Sc2 0.000 0.000 0.500
Se1 0.500 0.500 0.500

=====

(two)
Computed, not measured: an optimized crystal structure of Sc2MoHSe at the PBE level of DFT.

Crystal system: tetragonal
Density of states at the Fermi level: 1.063 states/eV/atom
Total magnetic moment: 0.004 μB/f.u.

Cell lengths 5.244, 3.288, 5.244 Å; angles 90.00, 90.00, 90.00 degrees
Atoms (fractional coordinates):
Sc1 0.500 0.000 0.000
Se1 0.000 0.000 0.000
Sc2 0.000 0.000 0.500
H1 0.000 0.500 0.000
Mo1 0.500 0.500 0.500

=====

The calculated energies rank the structures as follows, beginning with the most stable: (one), (two).

=====

(one)
Computed, not measured: an optimized crystal structure of MoH2Se at the PBE level of DFT.

Crystal system: cubic
Density of states at the Fermi level: 0.661 states/eV/atom
Total magnetic moment: 2.157 μB/f.u.

Cell lengths 3.914, 3.914, 3.914 Å; angles 60.00, 60.00, 60.00 degrees
Site moments in Bohr magnetons follow the coordinates.
Atoms (fractional coordinates):
H1 0.750 0.750 0.750  -0.03
H2 0.250 0.250 0.250  -0.03
Mo1 0.500 0.500 0.500  2.00
Se1 0.000 0.000 0.000  -0.01

=====

(two)
Computed, not measured: an optimized crystal structure of MoH2Se at the PBE level of DFT.

Crystal system: tetragonal
Density of states at the Fermi level: 0.212 states/eV/atom
Total magnetic moment: 0.000 μB/f.u.

Cell lengths 5.567, 5.567, 4.774 Å; angles 54.33, 54.33, 90.00 degrees
Atoms (fractional coordinates):
Mo1 0.000 0.000 0.000
H1 0.375 0.289 0.750
H2 0.039 0.625 0.250
H3 0.875 0.961 0.750
Mo2 0.750 0.250 0.500
Se1 0.500 0.500 0.000
H4 0.711 0.125 0.250
Se2 0.250 0.750 0.500

=====

The calculated energies rank the structures as follows, beginning with the most stable: (two), (one).

=====

(one)
Computed, not measured: an optimized crystal structure of Si3MoH at the PBE level of DFT.

Crystal system: cubic
Density of states at the Fermi level: 0.708 states/eV/atom
Total magnetic moment: 0.801 μB/f.u.

Cell lengths 3.890, 3.890, 3.890 Å; angles 90.00, 90.00, 90.00 degrees
Site moments in Bohr magnetons follow the coordinates.
Atoms (fractional coordinates):
Si1 0.500 0.000 0.000  0.00
Si2 0.000 0.000 0.500  0.01
H1 0.000 0.000 0.000  0.00
Si3 0.000 0.500 0.000  0.00
Mo1 0.500 0.500 0.500  0.68

=====

(two)
Computed, not measured: an optimized crystal structure of Si3MoH at the PBE level of DFT.

Crystal system: cubic
Density of states at the Fermi level: 0.096 states/eV/atom
Total magnetic moment: 0.981 μB/f.u.

Cell lengths 4.724, 4.724, 4.724 Å; angles 90.00, 90.00, 90.00 degrees
Site moments in Bohr magnetons follow the coordinates.
Atoms (fractional coordinates):
Mo1 0.000 0.000 0.000  0.11
H1 0.500 0.500 0.500  0.35
Si1 0.000 0.500 0.000  0.00
Si2 0.000 0.000 0.500  0.00
Si3 0.500 0.000 0.000  0.02

=====

The calculated energies rank the structures as follows, beginning with the most stable: (one), (two).

=====

(one)
Computed, not measured: an optimized crystal structure of Si2MoH at the PBE level of DFT.

Crystal system: cubic
Density of states at the Fermi level: 1.608 states/eV/atom
Total magnetic moment: 0.000 μB/f.u.

Cell lengths 4.167, 4.167, 4.167 Å; angles 60.00, 60.00, 60.00 degrees
Atoms (fractional coordinates):
Si1 0.750 0.750 0.750
Si2 0.250 0.250 0.250
Mo1 0.500 0.500 0.500
H1 0.000 0.000 0.000

=====

(two)
Computed, not measured: an optimized crystal structure of Si2MoH at the PBE level of DFT.

Crystal system: tetragonal
Density of states at the Fermi level: 0.639 states/eV/atom
Total magnetic moment: 0.000 μB/f.u.

Cell lengths 5.707, 5.707, 4.934 Å; angles 54.67, 54.67, 90.00 degrees
Atoms (fractional coordinates):
H1 0.500 0.500 0.000
H2 0.250 0.750 0.500
Mo1 0.000 0.000 0.000
Si1 0.875 0.776 0.750
Si2 0.526 0.125 0.250
Si3 0.375 0.474 0.750
Mo2 0.750 0.250 0.500
Si4 0.224 0.625 0.250

=====

The calculated energies rank the structures as follows, beginning with the most stable: (two), (one).

=====

(one)
Computed, not measured: an optimized crystal structure of SnMo2H at the PBE level of DFT.

Crystal system: cubic
Density of states at the Fermi level: 1.623 states/eV/atom
Total magnetic moment: 0.000 μB/f.u.

Cell lengths 4.428, 4.428, 4.428 Å; angles 60.00, 60.00, 60.00 degrees
Atoms (fractional coordinates):
Mo1 0.750 0.750 0.750
Mo2 0.250 0.250 0.250
Sn1 0.500 0.500 0.500
H1 0.000 0.000 0.000

=====

(two)
Computed, not measured: an optimized crystal structure of SnMo2H at the PBE level of DFT.

Crystal system: trigonal
Density of states at the Fermi level: 0.565 states/eV/atom
Total magnetic moment: 0.000 μB/f.u.

Cell lengths 3.057, 3.057, 7.019 Å; angles 77.42, 77.42, 60.00 degrees
Atoms (fractional coordinates):
Mo1 0.719 0.719 0.843
Sn1 0.500 0.500 0.500
Mo2 0.281 0.281 0.157
H1 0.000 0.000 0.000

=====

(three)
Computed, not measured: an optimized crystal structure of SnMo2H at the PBE level of DFT.

Crystal system: tetragonal
Density of states at the Fermi level: 0.935 states/eV/atom
Total magnetic moment: 0.000 μB/f.u.

Cell lengths 5.023, 5.023, 6.158 Å; angles 65.93, 65.93, 90.00 degrees
Atoms (fractional coordinates):
Mo1 0.375 0.625 0.750
H1 0.250 0.750 0.500
Mo2 0.375 0.125 0.250
Sn1 0.750 0.250 0.500
Sn2 0.000 0.000 0.000
H2 0.500 0.500 0.000
Mo3 0.875 0.625 0.750
Mo4 0.375 0.625 0.250

=====

The calculated energies rank the structures as follows, beginning with the most stable: (two), (three), (one).